(1)
# PBE-GGA NaAcNd2, optimized geometry
# Uncorrected energy   -0.2594 Ry/atom
# D(E_F)   1.545 states/eV/atom
# Calculated density   6.0 g/cm³
# Total magnetization   0.00 μB/cell
data_NaAcNd2
_symmetry_space_group_name_H-M 'P 4/m m m'
_symmetry_Int_Tables_number 123
_symmetry_space_group_name_Hall '-P 4 2'
_cell_length_a 6.187
_cell_length_b 6.187
_cell_length_c 3.882
_cell_angle_alpha 90.00
_cell_angle_beta 90.00
_cell_angle_gamma 90.00
loop_
_atom_site_label
_atom_site_type_symbol
_atom_site_fract_x
_atom_site_fract_y
_atom_site_fract_z
_atom_site_occupancy
Na1 Na 0.000 0.000 0.000 1
Ac1 Ac 0.500 0.500 0.000 1
Nd1 Nd 0.000 0.500 0.500 1



(2)
# PBE-GGA NaAc2Nd, optimized geometry
# Uncorrected energy   -0.2528 Ry/atom
# D(E_F)   1.027 states/eV/atom
# Calculated density   6.0 g/cm³
# Total magnetization   0.00 μB/cell
data_NaAc2Nd
_symmetry_space_group_name_H-M 'R -3 m'
_symmetry_Int_Tables_number 166
_symmetry_space_group_name_Hall '-R 3 2"'
_cell_length_a 3.8402
_cell_length_b 3.8402
_cell_length_c 40.5496
_cell_angle_alpha 90.00
_cell_angle_beta 90.00
_cell_angle_gamma 120.00
loop_
_atom_site_label
_atom_site_type_symbol
_atom_site_fract_x
_atom_site_fract_y
_atom_site_fract_z
_atom_site_occupancy
Na1 Na 0.0000 0.0000 0.0000 1
Ac1 Ac 0.0000 0.0000 0.0915 1
Nd1 Nd 0.0000 0.0000 0.5000 1